Arrangement 1

# GGA-PBE PIr2Br, optimized geometry
# Space group: Pm
data_PIr2Br
_chemical_formula_sum 'P1 Ir2 Br1'
_symmetry_space_group_name_H-M 'P 1'
_symmetry_Int_Tables_number 1
_cell_length_a 3.9708
_cell_length_b 3.7149
_cell_length_c 6.1947
_cell_angle_alpha 90.00
_cell_angle_beta 96.63
_cell_angle_gamma 90.00
loop_
_symmetry_equiv_pos_as_xyz
'x,y,z'
loop_
_atom_site_label
_atom_site_type_symbol
_atom_site_fract_x
_atom_site_fract_y
_atom_site_fract_z
P1 P 0.0000 0.0000 0.0000
Ir1 Ir 0.4597 0.0000 0.2647
Ir2 Ir 0.9249 0.5000 0.1922
Br1 Br 0.3400 0.5000 0.5348

Arrangement 2

# GGA-PBE PIr2Br, optimized geometry
# Space group: Imm2
data_PIr2Br
_chemical_formula_sum 'P1 Ir2 Br1'
_symmetry_space_group_name_H-M 'P 1'
_symmetry_Int_Tables_number 1
_cell_length_a 6.9631
_cell_length_b 6.9631
_cell_length_c 6.9631
_cell_angle_alpha 153.37
_cell_angle_beta 152.20
_cell_angle_gamma 38.87
loop_
_symmetry_equiv_pos_as_xyz
'x,y,z'
loop_
_atom_site_label
_atom_site_type_symbol
_atom_site_fract_x
_atom_site_fract_y
_atom_site_fract_z
P1 P 0.0000 0.0000 0.0000
Ir1 Ir 0.4396 0.4396 0.0000
Ir2 Ir 0.6164 0.1164 0.5000
Br1 Br 0.2630 0.7630 0.5000

Arrangement 3

# GGA-PBE PIr2Br, optimized geometry
# Space group: Fm-3m
data_PIr2Br
_chemical_formula_sum 'P1 Ir2 Br1'
_symmetry_space_group_name_H-M 'P 1'
_symmetry_Int_Tables_number 1
_cell_length_a 4.4429
_cell_length_b 4.4429
_cell_length_c 4.4429
_cell_angle_alpha 60.00
_cell_angle_beta 60.00
_cell_angle_gamma 60.00
loop_
_symmetry_equiv_pos_as_xyz
'x,y,z'
loop_
_atom_site_label
_atom_site_type_symbol
_atom_site_fract_x
_atom_site_fract_y
_atom_site_fract_z
P1 P 0.0000 0.0000 0.0000
Ir1 Ir 0.2500 0.2500 0.2500
Ir2 Ir 0.7500 0.7500 0.7500
Br1 Br 0.5000 0.5000 0.5000

Energies relative to the minimum, meV/atom: arrangement 1 0; arrangement 2 50; arrangement 3 626

Arrangement 1

# GGA-PBE PIr2Br, optimized geometry
# Space group: Immm
data_PIr2Br
_chemical_formula_sum 'P1 Ir2 Br1'
_symmetry_space_group_name_H-M 'P 1'
_symmetry_Int_Tables_number 1
_cell_length_a 5.3233
_cell_length_b 5.3233
_cell_length_c 5.3233
_cell_angle_alpha 148.38
_cell_angle_beta 110.18
_cell_angle_gamma 78.67
loop_
_symmetry_equiv_pos_as_xyz
'x,y,z'
loop_
_atom_site_label
_atom_site_type_symbol
_atom_site_fract_x
_atom_site_fract_y
_atom_site_fract_z
P1 P 0.0000 0.0000 0.0000
Ir1 Ir 0.2123 0.7123 0.5000
Ir2 Ir 0.7877 0.2877 0.5000
Br1 Br 0.5000 0.5000 0.0000

Arrangement 2

# GGA-PBE PIr2Br, optimized geometry
# Space group: P4mm
data_PIr2Br
_chemical_formula_sum 'P1 Ir2 Br1'
_symmetry_space_group_name_H-M 'P 1'
_symmetry_Int_Tables_number 1
_cell_length_a 2.9016
_cell_length_b 2.9016
_cell_length_c 8.7473
_cell_angle_alpha 90.00
_cell_angle_beta 90.00
_cell_angle_gamma 90.00
loop_
_symmetry_equiv_pos_as_xyz
'x,y,z'
loop_
_atom_site_label
_atom_site_type_symbol
_atom_site_fract_x
_atom_site_fract_y
_atom_site_fract_z
P1 P 0.0000 0.0000 0.0000
Ir1 Ir 0.0000 0.0000 0.6189
Ir2 Ir 0.5000 0.5000 0.8397
Br1 Br 0.5000 0.5000 0.3948

Arrangement 3

# GGA-PBE PIr2Br, optimized geometry
# Space group: Cmm2
data_PIr2Br
_chemical_formula_sum 'P1 Ir2 Br1'
_symmetry_space_group_name_H-M 'P 1'
_symmetry_Int_Tables_number 1
_cell_length_a 2.9479
_cell_length_b 2.9479
_cell_length_c 10.0217
_cell_angle_alpha 90.00
_cell_angle_beta 90.00
_cell_angle_gamma 122.82
loop_
_symmetry_equiv_pos_as_xyz
'x,y,z'
loop_
_atom_site_label
_atom_site_type_symbol
_atom_site_fract_x
_atom_site_fract_y
_atom_site_fract_z
P1 P 0.0000 0.0000 0.0000
Ir1 Ir 0.0000 0.0000 0.5798
Ir2 Ir 0.5000 0.5000 0.8126
Br1 Br 0.5000 0.5000 0.3608

Energies relative to the minimum, meV/atom: arrangement 1 117; arrangement 2 0; arrangement 3 134

Arrangement 1

# GGA-PBE PIr2Br, optimized geometry
# Space group: Pmmm
data_PIr2Br
_chemical_formula_sum 'P1 Ir2 Br1'
_symmetry_space_group_name_H-M 'P 1'
_symmetry_Int_Tables_number 1
_cell_length_a 2.8701
_cell_length_b 4.3273
_cell_length_c 5.1602
_cell_angle_alpha 90.00
_cell_angle_beta 90.00
_cell_angle_gamma 90.00
loop_
_symmetry_equiv_pos_as_xyz
'x,y,z'
loop_
_atom_site_label
_atom_site_type_symbol
_atom_site_fract_x
_atom_site_fract_y
_atom_site_fract_z
P1 P 0.0000 0.0000 0.0000
Ir1 Ir 0.0000 0.5000 0.5000
Ir2 Ir 0.5000 0.5000 0.0000
Br1 Br 0.5000 0.0000 0.5000

Arrangement 2

# GGA-PBE PIr2Br, optimized geometry
# Space group: Cmmm
data_PIr2Br
_chemical_formula_sum 'P1 Ir2 Br1'
_symmetry_space_group_name_H-M 'P 1'
_symmetry_Int_Tables_number 1
_cell_length_a 4.5571
_cell_length_b 4.5571
_cell_length_c 3.0053
_cell_angle_alpha 90.00
_cell_angle_beta 90.00
_cell_angle_gamma 95.85
loop_
_symmetry_equiv_pos_as_xyz
'x,y,z'
loop_
_atom_site_label
_atom_site_type_symbol
_atom_site_fract_x
_atom_site_fract_y
_atom_site_fract_z
P1 P 0.0000 0.0000 0.0000
Ir1 Ir 0.0000 0.5000 0.5000
Ir2 Ir 0.5000 0.0000 0.5000
Br1 Br 0.5000 0.5000 0.0000

Energies relative to the minimum, meV/atom: arrangement 1 0; arrangement 2 14